A plane-wave DFT calculation with PBE with a Hubbard U was carried out for an optimized crystal structure of TlNiO2F.

Cell lengths 4.252, 4.252, 4.362 Å; angles 90.00, 90.00, 90.00 degrees
Positions (direct):
Tl: 0.000 0.000 0.000
Ni: 0.500 0.500 0.500
O: 0.000 0.500 0.000
O: 0.500 0.000 0.000
F: 0.000 0.000 0.500

## Properties
Symmetry: No. 123
DFT total energy, eV/atom: -3.4187
V, Å³ per cell: 79